Record 1
Below is a relaxed Sr4RuSe crystal, with properties calculated at the PBE level.

Structure (CIF):
```
data_Sr4RuSe
_cell_length_a 6.6013
_cell_length_b 6.6013
_cell_length_c 6.6013
_cell_angle_alpha 60.00
_cell_angle_beta 60.00
_cell_angle_gamma 60.00
_space_group_name_H-M_alt 'P 1'
_space_group_IT_number 1
loop_
_space_group_symop_operation_xyz
'x,y,z'
loop_
_atom_site_label
_atom_site_type_symbol
_atom_site_fract_x
_atom_site_fract_y
_atom_site_fract_z
_atom_site_occupancy
Sr1 Sr 0.3757 0.8730 0.3757 1
Sr2 Sr 0.3757 0.3757 0.3757 1
Sr3 Sr 0.3757 0.3757 0.8730 1
Ru1 Ru 0.7500 0.7500 0.7500 1
Sr4 Sr 0.8730 0.3757 0.3757 1
Se1 Se 0.0000 0.0000 0.0000 1
```

Values from the calculation:
Magnetic moment: 0.13 μB per formula unit
Formation energy without anion corrections: 0.733 eV/atom
Raw total energy: -2.515 eV per atom
Volume: 33.90 Å³/atom

Record 2
Below is a relaxed SrRuSe4 crystal, with properties calculated at the PBE level.

Structure (CIF):
```
data_SrRuSe4
_cell_length_a 5.8034
_cell_length_b 5.8034
_cell_length_c 5.8034
_cell_angle_alpha 60.00
_cell_angle_beta 60.00
_cell_angle_gamma 60.00
_space_group_name_H-M_alt 'P 1'
_space_group_IT_number 1
loop_
_space_group_symop_operation_xyz
'x,y,z'
loop_
_atom_site_label
_atom_site_type_symbol
_atom_site_fract_x
_atom_site_fract_y
_atom_site_fract_z
_atom_site_occupancy
Se1 Se 0.8790 0.3737 0.3737 1
Se2 Se 0.3737 0.3737 0.3737 1
Ru1 Ru 0.0000 0.0000 0.0000 1
Se3 Se 0.3737 0.8790 0.3737 1
Se4 Se 0.3737 0.3737 0.8790 1
Sr1 Sr 0.7500 0.7500 0.7500 1
```

Values from the calculation:
Magnetic moment: 2.21 μB per formula unit
Formation energy without anion corrections: 0.373 eV/atom
Raw total energy: -3.776 eV per atom
Volume: 23.03 Å³/atom

Record 3
Below is a relaxed SrTaRu2Se crystal, with properties calculated at the PBE level.

Structure (CIF):
```
data_SrTaRu2Se
_cell_length_a 4.8195
_cell_length_b 5.3749
_cell_length_c 4.8195
_cell_angle_alpha 90.00
_cell_angle_beta 90.00
_cell_angle_gamma 90.00
_space_group_name_H-M_alt 'P 1'
_space_group_IT_number 1
loop_
_space_group_symop_operation_xyz
'x,y,z'
loop_
_atom_site_label
_atom_site_type_symbol
_atom_site_fract_x
_atom_site_fract_y
_atom_site_fract_z
_atom_site_occupancy
Ru1 Ru 0.0000 0.0000 0.5000 1
Ta1 Ta 0.0000 0.5000 0.0000 1
Se1 Se 0.5000 0.5000 0.5000 1
Sr1 Sr 0.0000 0.0000 0.0000 1
Ru2 Ru 0.5000 0.0000 0.0000 1
```

Values from the calculation:
Magnetic moment: 1.24 μB per formula unit
Formation energy without anion corrections: 2.734 eV/atom
Raw total energy: -4.380 eV per atom
Volume: 24.97 Å³/atom

Record 4
Below is a relaxed SrRuW2Se crystal, with properties calculated at the PBE level.

Structure (CIF):
```
data_SrRuW2Se
_cell_length_a 4.8106
_cell_length_b 5.1404
_cell_length_c 4.8106
_cell_angle_alpha 90.00
_cell_angle_beta 90.00
_cell_angle_gamma 90.00
_space_group_name_H-M_alt 'P 1'
_space_group_IT_number 1
loop_
_space_group_symop_operation_xyz
'x,y,z'
loop_
_atom_site_label
_atom_site_type_symbol
_atom_site_fract_x
_atom_site_fract_y
_atom_site_fract_z
_atom_site_occupancy
W1 W 0.5000 0.0000 0.0000 1
Se1 Se 0.0000 0.5000 0.0000 1
Ru1 Ru 0.5000 0.5000 0.5000 1
Sr1 Sr 0.0000 0.0000 0.0000 1
W2 W 0.0000 0.0000 0.5000 1
```

Values from the calculation:
Magnetic moment: 0.34 μB per formula unit
Formation energy without anion corrections: 3.492 eV/atom
Raw total energy: -4.578 eV per atom
Volume: 23.79 Å³/atom

Record 5
Below is a relaxed Sr2ZrRuSe crystal, with properties calculated at the PBE level.

Structure (CIF):
```
data_Sr2ZrRuSe
_cell_length_a 5.9642
_cell_length_b 4.6011
_cell_length_c 5.9642
_cell_angle_alpha 90.00
_cell_angle_beta 90.00
_cell_angle_gamma 90.00
_space_group_name_H-M_alt 'P 1'
_space_group_IT_number 1
loop_
_space_group_symop_operation_xyz
'x,y,z'
loop_
_atom_site_label
_atom_site_type_symbol
_atom_site_fract_x
_atom_site_fract_y
_atom_site_fract_z
_atom_site_occupancy
Zr1 Zr 0.5000 0.5000 0.5000 1
Ru1 Ru 0.0000 0.0000 0.0000 1
Sr1 Sr 0.5000 0.0000 0.0000 1
Sr2 Sr 0.0000 0.0000 0.5000 1
Se1 Se 0.0000 0.5000 0.0000 1
```

Values from the calculation:
Magnetic moment: 2.76 μB per formula unit
Formation energy without anion corrections: 0.431 eV/atom
Raw total energy: -4.504 eV per atom
Volume: 32.73 Å³/atom

Record 6
Below is a relaxed TaRu2Se crystal, with properties calculated at the PBE level.

Structure (CIF):
```
data_TaRu2Se
_cell_length_a 3.0201
_cell_length_b 4.6432
_cell_length_c 4.4123
_cell_angle_alpha 90.00
_cell_angle_beta 90.00
_cell_angle_gamma 90.00
_space_group_name_H-M_alt 'P 1'
_space_group_IT_number 1
loop_
_space_group_symop_operation_xyz
'x,y,z'
loop_
_atom_site_label
_atom_site_type_symbol
_atom_site_fract_x
_atom_site_fract_y
_atom_site_fract_z
_atom_site_occupancy
Ru1 Ru 0.5000 0.5000 0.0000 1
Se1 Se 0.5000 0.0000 0.5000 1
Ta1 Ta 0.0000 0.5000 0.5000 1
Ru2 Ru 0.0000 0.0000 0.0000 1
```

Values from the calculation:
Magnetic moment: 0.00 μB per formula unit
Formation energy without anion corrections: 0.087 eV/atom
Raw total energy: -8.386 eV per atom
Volume: 15.47 Å³/atom

Record 7
Below is a relaxed TaRu2Se crystal, with properties calculated at the PBE level.

Structure (CIF):
```
data_TaRu2Se
_cell_length_a 4.4563
_cell_length_b 4.4563
_cell_length_c 4.4563
_cell_angle_alpha 60.00
_cell_angle_beta 60.00
_cell_angle_gamma 60.00
_space_group_name_H-M_alt 'P 1'
_space_group_IT_number 1
loop_
_space_group_symop_operation_xyz
'x,y,z'
loop_
_atom_site_label
_atom_site_type_symbol
_atom_site_fract_x
_atom_site_fract_y
_atom_site_fract_z
_atom_site_occupancy
Se1 Se 0.5000 0.5000 0.5000 1
Ta1 Ta 0.7500 0.7500 0.7500 1
Ru1 Ru 0.2500 0.2500 0.2500 1
Ru2 Ru 0.0000 0.0000 0.0000 1
```

Values from the calculation:
Magnetic moment: 0.00 μB per formula unit
Formation energy without anion corrections: 0.292 eV/atom
Raw total energy: -8.180 eV per atom
Volume: 15.64 Å³/atom

Record 8
Below is a relaxed TaRuSe2 crystal, with properties calculated at the PBE level.

Structure (CIF):
```
data_TaRuSe2
_cell_length_a 5.7574
_cell_length_b 5.7574
_cell_length_c 6.7890
_cell_angle_alpha 64.91
_cell_angle_beta 64.91
_cell_angle_gamma 90.00
_space_group_name_H-M_alt 'P 1'
_space_group_IT_number 1
loop_
_space_group_symop_operation_xyz
'x,y,z'
loop_
_atom_site_label
_atom_site_type_symbol
_atom_site_fract_x
_atom_site_fract_y
_atom_site_fract_z
_atom_site_occupancy
Se1 Se 0.3750 0.3893 0.7500 1
Se2 Se 0.8750 0.8607 0.7500 1
Ta1 Ta 0.7500 0.2500 0.5000 1
Se3 Se 0.6107 0.1250 0.2500 1
Se4 Se 0.1393 0.6250 0.2500 1
Ta2 Ta 0.0000 0.0000 0.0000 1
Ru1 Ru 0.2500 0.7500 0.5000 1
Ru2 Ru 0.5000 0.5000 0.0000 1
```

Values from the calculation:
Offset from the most stable computed form: 0.594 eV/atom
Magnetic moment: 0.00 μB per formula unit
Formation energy without anion corrections: 0.198 eV/atom
Raw total energy: -6.827 eV per atom
Volume: 22.51 Å³/atom

Record 9
Below is a relaxed TaRuSe2 crystal, with properties calculated at the PBE level.

Structure (CIF):
```
data_TaRuSe2
_cell_length_a 9.5211
_cell_length_b 9.5211
_cell_length_c 9.5211
_cell_angle_alpha 19.37
_cell_angle_beta 19.37
_cell_angle_gamma 19.37
_space_group_name_H-M_alt 'P 1'
_space_group_IT_number 1
loop_
_space_group_symop_operation_xyz
'x,y,z'
loop_
_atom_site_label
_atom_site_type_symbol
_atom_site_fract_x
_atom_site_fract_y
_atom_site_fract_z
_atom_site_occupancy
Ta1 Ta 0.4967 0.4967 0.4967 1
Ru1 Ru 0.7496 0.7496 0.7496 1
Se1 Se 0.0264 0.0264 0.0264 1
Se2 Se 0.2273 0.2273 0.2273 1
```

Values from the calculation:
Offset from the most stable computed form: 0.170 eV/atom
Magnetic moment: 0.05 μB per formula unit
Formation energy without anion corrections: -0.226 eV/atom
Raw total energy: -7.251 eV per atom
Volume: 20.76 Å³/atom

Record 10
Below is a relaxed TaRuSe2 crystal, with properties calculated at the PBE level.

Structure (CIF):
```
data_TaRuSe2
_cell_length_a 4.2459
_cell_length_b 4.1444
_cell_length_c 4.1480
_cell_angle_alpha 80.70
_cell_angle_beta 90.00
_cell_angle_gamma 90.00
_space_group_name_H-M_alt 'P 1'
_space_group_IT_number 1
loop_
_space_group_symop_operation_xyz
'x,y,z'
loop_
_atom_site_label
_atom_site_type_symbol
_atom_site_fract_x
_atom_site_fract_y
_atom_site_fract_z
_atom_site_occupancy
Se1 Se 0.0000 0.9921 0.9922 1
Ru1 Ru 0.5000 0.7500 0.7500 1
Ta1 Ta 0.5000 0.2500 0.2500 1
Se2 Se 0.0000 0.5079 0.5078 1
```

Values from the calculation:
Offset from the most stable computed form: 0.680 eV/atom
Magnetic moment: 0.00 μB per formula unit
Formation energy without anion corrections: 0.284 eV/atom
Raw total energy: -6.740 eV per atom
Volume: 18.01 Å³/atom

Record 11
Below is a relaxed TaRu2Se crystal, with properties calculated at the PBE level.

Structure (CIF):
```
data_TaRu2Se
_cell_length_a 8.7710
_cell_length_b 8.7710
_cell_length_c 8.7710
_cell_angle_alpha 19.06
_cell_angle_beta 19.06
_cell_angle_gamma 19.06
_space_group_name_H-M_alt 'P 1'
_space_group_IT_number 1
loop_
_space_group_symop_operation_xyz
'x,y,z'
loop_
_atom_site_label
_atom_site_type_symbol
_atom_site_fract_x
_atom_site_fract_y
_atom_site_fract_z
_atom_site_occupancy
Se1 Se 0.4974 0.4974 0.4974 1
Ru1 Ru 0.7499 0.7499 0.7499 1
Ta1 Ta 0.2483 0.2483 0.2483 1
Ru2 Ru 0.0044 0.0044 0.0044 1
```

Values from the calculation:
Magnetic moment: 0.00 μB per formula unit
Formation energy without anion corrections: 0.191 eV/atom
Raw total energy: -8.282 eV per atom
Volume: 15.72 Å³/atom

Record 12
Below is a relaxed TaRuSe3 crystal, with properties calculated at the PBE level.

Structure (CIF):
```
data_TaRuSe3
_cell_length_a 4.7595
_cell_length_b 4.7595
_cell_length_c 4.7595
_cell_angle_alpha 90.00
_cell_angle_beta 90.00
_cell_angle_gamma 90.00
_space_group_name_H-M_alt 'P 1'
_space_group_IT_number 1
loop_
_space_group_symop_operation_xyz
'x,y,z'
loop_
_atom_site_label
_atom_site_type_symbol
_atom_site_fract_x
_atom_site_fract_y
_atom_site_fract_z
_atom_site_occupancy
Se1 Se 0.0000 0.0000 0.5000 1
Se2 Se 0.0000 0.5000 0.0000 1
Ta1 Ta 0.5000 0.5000 0.5000 1
Se3 Se 0.5000 0.0000 0.0000 1
Ru1 Ru 0.0000 0.0000 0.0000 1
```

Values from the calculation:
Offset from the most stable computed form: 0.264 eV/atom
Magnetic moment: 0.00 μB per formula unit
Formation energy without anion corrections: 0.909 eV/atom
Raw total energy: -5.407 eV per atom
Volume: 21.56 Å³/atom

Record 13
Below is a relaxed TaRuSe2 crystal, with properties calculated at the PBE level.

Structure (CIF):
```
data_TaRuSe2
_cell_length_a 5.1146
_cell_length_b 5.1146
_cell_length_c 5.1146
_cell_angle_alpha 134.70
_cell_angle_beta 134.70
_cell_angle_gamma 65.99
_space_group_name_H-M_alt 'P 1'
_space_group_IT_number 1
loop_
_space_group_symop_operation_xyz
'x,y,z'
loop_
_atom_site_label
_atom_site_type_symbol
_atom_site_fract_x
_atom_site_fract_y
_atom_site_fract_z
_atom_site_occupancy
Ta1 Ta 0.5000 0.5000 0.0000 1
Se1 Se 0.2500 0.7500 0.5000 1
Se2 Se 0.0000 0.0000 0.0000 1
Ru1 Ru 0.7500 0.2500 0.5000 1
```

Values from the calculation:
Offset from the most stable computed form: 0.588 eV/atom
Magnetic moment: 0.00 μB per formula unit
Formation energy without anion corrections: 0.192 eV/atom
Raw total energy: -6.833 eV per atom
Volume: 16.64 Å³/atom

Record 14
Below is a relaxed TaRuSe2 crystal, with properties calculated at the PBE level.

Structure (CIF):
```
data_TaRuSe2
_cell_length_a 8.6257
_cell_length_b 8.6257
_cell_length_c 8.6257
_cell_angle_alpha 21.39
_cell_angle_beta 21.39
_cell_angle_gamma 21.39
_space_group_name_H-M_alt 'P 1'
_space_group_IT_number 1
loop_
_space_group_symop_operation_xyz
'x,y,z'
loop_
_atom_site_label
_atom_site_type_symbol
_atom_site_fract_x
_atom_site_fract_y
_atom_site_fract_z
_atom_site_occupancy
Se1 Se 0.9057 0.9057 0.9057 1
Se2 Se 0.0943 0.0943 0.0943 1
Ru1 Ru 0.0000 0.0000 0.0000 1
Ta1 Ta 0.5000 0.5000 0.5000 1
```

Values from the calculation:
Offset from the most stable computed form: 0.377 eV/atom
Magnetic moment: 0.00 μB per formula unit
Formation energy without anion corrections: -0.019 eV/atom
Raw total energy: -7.043 eV per atom
Volume: 18.69 Å³/atom